# NdTmLu

A geometry-optimized NdTmLu structure (PBE-GGA, the Alexandria database).

Cell lengths 5.627, 5.627, 3.442 Å; angles 90.00, 90.00, 120.00 degrees
Sites, in units of the cell vectors:
Nd: 0.000 0.000 0.000
Tm: 0.667 0.333 0.500
Lu: 0.333 0.667 0.500

Output
Energy relative to the lowest polymorph listed for this composition = 0.054 eV per atom
ΔE_f = 0.26 eV per formula unit
D(E_F) = 1.608 states/eV per atom



# NdTm2Lu

A geometry-optimized NdTm2Lu structure (PBE-GGA, the Alexandria database).

Cell lengths 5.626, 5.626, 5.626 Å; angles 60.00, 60.00, 60.00 degrees
Sites, in units of the cell vectors:
Nd: 0.000 0.000 0.000
Tm: 0.250 0.250 0.250
Tm: 0.750 0.750 0.750
Lu: 0.500 0.500 0.500

Output
Energy relative to the lowest polymorph listed for this composition = 0.098 eV per atom
ΔE_f = 0.52 eV per formula unit
D(E_F) = 1.746 states/eV per atom



# NdTmLu2

A geometry-optimized NdTmLu2 structure (PBE-GGA, the Alexandria database).

Cell lengths 5.611, 5.611, 5.611 Å; angles 60.00, 60.00, 60.00 degrees
Sites, in units of the cell vectors:
Nd: 0.000 0.000 0.000
Tm: 0.500 0.500 0.500
Lu: 0.250 0.250 0.250
Lu: 0.750 0.750 0.750

Output
Energy relative to the lowest polymorph listed for this composition = 0.070 eV per atom
ΔE_f = 0.42 eV per formula unit
D(E_F) = 1.228 states/eV per atom



# NdYTmLu

A geometry-optimized NdYTmLu structure (PBE-GGA, the Alexandria database).

Cell lengths 5.661, 5.661, 5.661 Å; angles 60.00, 60.00, 60.00 degrees
Sites, in units of the cell vectors:
Nd: 0.000 0.000 0.000
Y: 0.500 0.500 0.500
Tm: 0.750 0.750 0.750
Lu: 0.250 0.250 0.250

Output
ΔE_f = 0.41 eV per formula unit
D(E_F) = 1.443 states/eV per atom



# NdTmLuZr

A geometry-optimized NdTmLuZr structure (PBE-GGA, the Alexandria database).

Cell lengths 5.472, 5.472, 5.472 Å; angles 60.00, 60.00, 60.00 degrees
Sites, in units of the cell vectors:
Nd: 0.000 0.000 0.000
Tm: 0.750 0.750 0.750
Lu: 0.250 0.250 0.250
Zr: 0.500 0.500 0.500

Output
ΔE_f = 0.79 eV per formula unit
D(E_F) = 1.745 states/eV per atom



# NdY2Lu

A geometry-optimized NdY2Lu structure (PBE-GGA, the Alexandria database).

Cell lengths 3.566, 3.566, 10.156 Å; angles 90.00, 90.00, 90.00 degrees
Sites, in units of the cell vectors:
Nd: 0.000 0.000 0.000
Y: 0.500 0.500 0.257
Y: 0.500 0.500 0.743
Lu: 0.000 0.000 0.500

Output
Energy relative to the lowest polymorph listed for this composition = 0.003 eV per atom
ΔE_f = 0.12 eV per formula unit
D(E_F) = 1.498 states/eV per atom



# NdY2Lu

A geometry-optimized NdY2Lu structure (PBE-GGA, the Alexandria database).

Cell lengths 11.805, 11.805, 11.805 Å; angles 17.43, 17.43, 17.43 degrees
Sites, in units of the cell vectors:
Nd: 0.000 0.000 0.000
Y: 0.248 0.248 0.248
Y: 0.752 0.752 0.752
Lu: 0.500 0.500 0.500

Output
Energy relative to the lowest polymorph listed for this composition = 0.000 eV per atom
ΔE_f = 0.11 eV per formula unit
D(E_F) = 1.574 states/eV per atom



# NdY2Lu

A geometry-optimized NdY2Lu structure (PBE-GGA, the Alexandria database).

Cell lengths 5.035, 5.035, 5.082 Å; angles 90.00, 90.00, 90.00 degrees
Sites, in units of the cell vectors:
Nd: 0.000 0.000 0.000
Y: 0.000 0.500 0.500
Y: 0.500 0.000 0.500
Lu: 0.500 0.500 0.000

Output
Energy relative to the lowest polymorph listed for this composition = 0.000 eV per atom
ΔE_f = 0.11 eV per formula unit
D(E_F) = 1.599 states/eV per atom



# Nd2YLu

A geometry-optimized Nd2YLu structure (PBE-GGA, the Alexandria database).

Cell lengths 3.621, 3.621, 10.050 Å; angles 90.00, 90.00, 90.00 degrees
Sites, in units of the cell vectors:
Nd: 0.000 0.000 0.246
Nd: 0.000 0.000 0.754
Y: 0.500 0.500 0.500
Lu: 0.500 0.500 0.000

Output
ΔE_f = 0.09 eV per formula unit
D(E_F) = 1.511 states/eV per atom



# NdYLu4

A geometry-optimized NdYLu4 structure (PBE-GGA, the Alexandria database).

Cell lengths 6.582, 6.582, 6.582 Å; angles 60.00, 60.00, 60.00 degrees
Sites, in units of the cell vectors:
Nd: 0.000 0.000 0.000
Y: 0.750 0.750 0.750
Lu: 0.375 0.375 0.375
Lu: 0.375 0.375 0.875
Lu: 0.375 0.875 0.375
Lu: 0.875 0.375 0.375

Output
ΔE_f = 1.60 eV per formula unit
D(E_F) = 2.433 states/eV per atom



# Nd2YLu

A geometry-optimized Nd2YLu structure (PBE-GGA, the Alexandria database).

Cell lengths 5.122, 5.122, 5.017 Å; angles 90.00, 90.00, 90.00 degrees
Sites, in units of the cell vectors:
Nd: 0.000 0.500 0.000
Nd: 0.500 0.000 0.000
Y: 0.000 0.000 0.500
Lu: 0.500 0.500 0.500

Output
ΔE_f = 0.08 eV per formula unit
D(E_F) = 1.535 states/eV per atom



# Nd2LuZn

A geometry-optimized Nd2LuZn structure (PBE-GGA, the Alexandria database).

Cell lengths 5.416, 5.416, 5.416 Å; angles 60.00, 60.00, 60.00 degrees
Sites, in units of the cell vectors:
Nd: 0.250 0.250 0.250
Nd: 0.750 0.750 0.750
Lu: 0.000 0.000 0.000
Zn: 0.500 0.500 0.500

Output
Energy relative to the lowest polymorph listed for this composition = 0.130 eV per atom
ΔE_f = 0.01 eV per formula unit
D(E_F) = 1.085 states/eV per atom



# NdLu2Zn

A geometry-optimized NdLu2Zn structure (PBE-GGA, the Alexandria database).

Cell lengths 3.510, 3.510, 8.721 Å; angles 90.00, 90.00, 90.00 degrees
Sites, in units of the cell vectors:
Nd: 0.000 0.000 0.000
Lu: 0.500 0.500 0.300
Lu: 0.500 0.500 0.700
Zn: 0.000 0.000 0.500

Output
Energy relative to the lowest polymorph listed for this composition = 0.000 eV per atom
ΔE_f = -0.68 eV per formula unit
D(E_F) = 1.113 states/eV per atom



# NdLu2Zn

A geometry-optimized NdLu2Zn structure (PBE-GGA, the Alexandria database).

Cell lengths 4.717, 4.717, 4.764 Å; angles 90.00, 90.00, 90.00 degrees
Sites, in units of the cell vectors:
Nd: 0.000 0.000 0.000
Lu: 0.000 0.500 0.500
Lu: 0.500 0.000 0.500
Zn: 0.500 0.500 0.000

Output
Energy relative to the lowest polymorph listed for this composition = 0.144 eV per atom
ΔE_f = -0.10 eV per formula unit
D(E_F) = 1.356 states/eV per atom



# Nd2LuZn

A geometry-optimized Nd2LuZn structure (PBE-GGA, the Alexandria database).

Cell lengths 11.760, 11.760, 11.760 Å; angles 17.00, 17.00, 17.00 degrees
Sites, in units of the cell vectors:
Nd: 0.098 0.098 0.098
Nd: 0.902 0.902 0.902
Lu: 0.000 0.000 0.000
Zn: 0.500 0.500 0.500

Output
Energy relative to the lowest polymorph listed for this composition = 0.302 eV per atom
ΔE_f = 0.70 eV per formula unit
D(E_F) = 1.369 states/eV per atom



# NdLuZn2

A geometry-optimized NdLuZn2 structure (PBE-GGA, the Alexandria database).

Cell lengths 5.087, 5.087, 5.087 Å; angles 60.00, 60.00, 60.00 degrees
Sites, in units of the cell vectors:
Nd: 0.000 0.000 0.000
Lu: 0.500 0.500 0.500
Zn: 0.250 0.250 0.250
Zn: 0.750 0.750 0.750

Output
Energy relative to the lowest polymorph listed for this composition = 0.005 eV per atom
ΔE_f = -1.27 eV per formula unit
D(E_F) = 1.053 states/eV per atom



# Nd2LuZn

A geometry-optimized Nd2LuZn structure (PBE-GGA, the Alexandria database).

Cell lengths 3.655, 3.655, 8.629 Å; angles 90.00, 90.00, 90.00 degrees
Sites, in units of the cell vectors:
Nd: 0.000 0.000 0.214
Nd: 0.000 0.000 0.786
Lu: 0.500 0.500 0.500
Zn: 0.500 0.500 0.000

Output
Energy relative to the lowest polymorph listed for this composition = 0.000 eV per atom
ΔE_f = -0.51 eV per formula unit
D(E_F) = 1.145 states/eV per atom



# NdLuZn2

A geometry-optimized NdLuZn2 structure (PBE-GGA, the Alexandria database).

Cell lengths 3.545, 3.545, 7.361 Å; angles 90.00, 90.00, 90.00 degrees
Sites, in units of the cell vectors:
Nd: 0.000 0.000 0.000
Lu: 0.000 0.000 0.500
Zn: 0.500 0.500 0.276
Zn: 0.500 0.500 0.724

Output
Energy relative to the lowest polymorph listed for this composition = 0.000 eV per atom
ΔE_f = -1.29 eV per formula unit
D(E_F) = 0.946 states/eV per atom



# Nd2LuZr

A geometry-optimized Nd2LuZr structure (PBE-GGA, the Alexandria database).

Cell lengths 4.068, 4.068, 7.258 Å; angles 90.00, 90.00, 90.00 degrees
Sites, in units of the cell vectors:
Nd: 0.000 0.000 0.229
Nd: 0.000 0.000 0.771
Lu: 0.500 0.500 0.500
Zr: 0.500 0.500 0.000

Output
Energy relative to the lowest polymorph listed for this composition = 0.048 eV per atom
ΔE_f = 0.67 eV per formula unit
D(E_F) = 1.272 states/eV per atom



# Nd2LuZr

A geometry-optimized Nd2LuZr structure (PBE-GGA, the Alexandria database).

Cell lengths 5.532, 5.532, 5.532 Å; angles 60.00, 60.00, 60.00 degrees
Sites, in units of the cell vectors:
Nd: 0.250 0.250 0.250
Nd: 0.750 0.750 0.750
Lu: 0.000 0.000 0.000
Zr: 0.500 0.500 0.500

Output
Energy relative to the lowest polymorph listed for this composition = 0.085 eV per atom
ΔE_f = 0.81 eV per formula unit
D(E_F) = 1.668 states/eV per atom